(1)
{
  "formula": "BaCdIr2",
  "functional": "PBE-GGA",
  "state": "optimized geometry",
  "total_energy_ev_per_cell": -18.94,
  "dos_ef_per_ev_fu": 2.616,
  "vol_a3_per_fu": 91.6,
  "lattice": [[3.047, 0.000, 0.000], [0.000, 4.729, 0.000], [-1.179, 0.000, 6.357]],
  "species": ["Ba", "Cd", "Ir", "Ir"],
  "frac_coords": [[0.000, 0.000, 0.000], [0.500, 0.000, 0.500], [0.299, 0.500, 0.671], [0.701, 0.500, 0.329]]
}

(2)
{
  "formula": "Ba8Cd2Ir",
  "functional": "PBE-GGA",
  "state": "optimized geometry",
  "total_energy_ev_per_cell": -27.22,
  "dos_ef_per_ev_fu": 14.654,
  "polymorph_energy_ev_per_atom": 0.0481,
  "vol_a3_per_fu": 493.9,
  "lattice": [[10.624, -3.040, 0.000], [10.624, 3.040, 0.000], [-2.300, 0.000, 7.645]],
  "species": ["Ba", "Ba", "Ba", "Ba", "Ba", "Ba", "Ba", "Ba", "Cd", "Cd", "Ir"],
  "frac_coords": [[0.026, 0.026, 0.303], [0.215, 0.215, 0.805], [0.355, 0.355, 0.543], [0.413, 0.413, 0.101], [0.587, 0.587, 0.899], [0.645, 0.645, 0.457], [0.785, 0.785, 0.195], [0.974, 0.974, 0.697], [0.185, 0.185, 0.226], [0.815, 0.815, 0.774], [0.500, 0.500, 0.500]]
}

(3)
{
  "formula": "BaCdIr2",
  "functional": "PBE-GGA",
  "state": "optimized geometry",
  "total_energy_ev_per_cell": -19.64,
  "dos_ef_per_ev_fu": 2.973,
  "vol_a3_per_fu": 98.1,
  "lattice": [[3.534, 0.000, 0.000], [0.000, 3.534, 0.000], [0.000, 0.000, 7.853]],
  "species": ["Ba", "Cd", "Ir", "Ir"],
  "frac_coords": [[0.000, 0.000, 0.000], [0.500, 0.500, 0.341], [0.000, 0.000, 0.606], [0.500, 0.500, 0.690]]
}

(4)
{
  "formula": "BaCdIr2",
  "functional": "PBE-GGA",
  "state": "optimized geometry",
  "total_energy_ev_per_cell": -17.87,
  "dos_ef_per_ev_fu": 5.677,
  "vol_a3_per_fu": 86.0,
  "lattice": [[-2.195, 2.195, 4.464], [2.195, -2.195, 4.464], [2.195, 2.195, -4.464]],
  "species": ["Ba", "Cd", "Ir", "Ir"],
  "frac_coords": [[0.000, 0.000, 0.000], [0.250, 0.750, 0.500], [0.500, 0.500, 0.000], [0.750, 0.250, 0.500]]
}

(5)
{
  "formula": "BaCd2Ir",
  "functional": "PBE-GGA",
  "state": "optimized geometry",
  "total_energy_ev_per_cell": -10.91,
  "dos_ef_per_ev_fu": 4.073,
  "vol_a3_per_fu": 95.2,
  "lattice": [[1.628, 0.940, 10.363], [-1.628, 0.940, 10.363], [0.000, -1.880, 10.363]],
  "species": ["Ba", "Cd", "Cd", "Ir"],
  "frac_coords": [[0.000, 0.000, 0.000], [0.235, 0.235, 0.235], [0.765, 0.765, 0.765], [0.500, 0.500, 0.500]]
}

(6)
{
  "formula": "BaCdIr3",
  "functional": "PBE-GGA",
  "state": "optimized geometry",
  "total_energy_ev_per_cell": -22.56,
  "dos_ef_per_ev_fu": 6.248,
  "polymorph_energy_ev_per_atom": 0.0000,
  "vol_a3_per_fu": 127.0,
  "lattice": [[5.027, 0.000, 0.000], [0.000, 5.027, 0.000], [0.000, 0.000, 5.027]],
  "species": ["Ba", "Cd", "Ir", "Ir", "Ir"],
  "frac_coords": [[0.000, 0.000, 0.000], [0.500, 0.500, 0.500], [0.000, 0.500, 0.500], [0.500, 0.000, 0.500], [0.500, 0.500, 0.000]]
}

(7)
{
  "formula": "BaCd2Ir",
  "functional": "PBE-GGA",
  "state": "optimized geometry",
  "total_energy_ev_per_cell": -12.83,
  "dos_ef_per_ev_fu": 2.709,
  "vol_a3_per_fu": 112.7,
  "lattice": [[2.359, 1.362, 5.845], [-2.359, 1.362, 5.845], [0.000, -2.724, 5.845]],
  "species": ["Ba", "Cd", "Cd", "Ir"],
  "frac_coords": [[0.000, 0.000, 0.000], [0.202, 0.202, 0.202], [0.798, 0.798, 0.798], [0.500, 0.500, 0.500]]
}

(8)
{
  "formula": "Ba2CdIr2",
  "functional": "PBE-GGA",
  "state": "optimized geometry",
  "total_energy_ev_per_cell": -44.84,
  "dos_ef_per_ev_fu": 4.255,
  "vol_a3_per_fu": 137.7,
  "lattice": [[7.463, 0.000, 0.000], [0.000, 7.463, 0.000], [0.000, 0.000, 4.946]],
  "species": ["Ba", "Ba", "Ba", "Ba", "Cd", "Cd", "Ir", "Ir", "Ir", "Ir"],
  "frac_coords": [[0.178, 0.322, 0.000], [0.322, 0.822, 0.000], [0.678, 0.178, 0.000], [0.822, 0.678, 0.000], [0.000, 0.000, 0.500], [0.500, 0.500, 0.500], [0.118, 0.618, 0.500], [0.382, 0.118, 0.500], [0.618, 0.882, 0.500], [0.882, 0.382, 0.500]]
}

(9)
{
  "formula": "BaCdIr2",
  "functional": "PBE-GGA",
  "state": "optimized geometry",
  "total_energy_ev_per_cell": -19.08,
  "dos_ef_per_ev_fu": 3.507,
  "vol_a3_per_fu": 94.2,
  "lattice": [[4.749, -1.592, 0.000], [4.749, 1.592, 0.000], [-1.233, 0.000, 6.228]],
  "species": ["Ba", "Cd", "Ir", "Ir"],
  "frac_coords": [[0.000, 0.000, 0.000], [0.500, 0.500, 0.500], [0.238, 0.238, 0.658], [0.762, 0.762, 0.342]]
}

(10)
{
  "formula": "BaCd2Ir",
  "functional": "PBE-GGA",
  "state": "optimized geometry",
  "total_energy_ev_per_cell": -24.25,
  "dos_ef_per_ev_fu": 3.804,
  "vol_a3_per_fu": 129.2,
  "lattice": [[-2.619, 2.619, 9.418], [2.619, -2.619, 9.418], [2.619, 2.619, -9.418]],
  "species": ["Ba", "Ba", "Cd", "Cd", "Cd", "Cd", "Ir", "Ir"],
  "frac_coords": [[0.000, 0.000, 0.000], [0.750, 0.250, 0.500], [0.334, 0.625, 0.209], [0.375, 0.584, 0.709], [0.416, 0.125, 0.791], [0.875, 0.666, 0.291], [0.250, 0.750, 0.500], [0.500, 0.500, 0.000]]
}

(11)
{
  "formula": "Ba6Cd2Ir",
  "functional": "PBE-GGA",
  "state": "optimized geometry",
  "total_energy_ev_per_cell": -48.33,
  "dos_ef_per_ev_fu": 8.008,
  "vol_a3_per_fu": 432.8,
  "lattice": [[8.001, 0.000, 0.000], [0.000, 9.244, 0.000], [-7.814, 0.000, 11.704]],
  "species": ["Ba", "Ba", "Ba", "Ba", "Ba", "Ba", "Ba", "Ba", "Ba", "Ba", "Ba", "Ba", "Cd", "Cd", "Cd", "Cd", "Ir", "Ir"],
  "frac_coords": [[0.124, 0.163, 0.445], [0.124, 0.337, 0.945], [0.288, 0.702, 0.443], [0.288, 0.798, 0.943], [0.371, 0.027, 0.253], [0.371, 0.473, 0.753], [0.629, 0.527, 0.247], [0.629, 0.973, 0.747], [0.712, 0.202, 0.057], [0.712, 0.298, 0.557], [0.876, 0.663, 0.055], [0.876, 0.837, 0.555], [0.204, 0.113, 0.755], [0.204, 0.387, 0.255], [0.796, 0.613, 0.745], [0.796, 0.887, 0.245], [0.500, 0.000, 0.500], [0.500, 0.500, 0.000]]
}

(12)
{
  "formula": "BaCd2Ir",
  "functional": "PBE-GGA",
  "state": "optimized geometry",
  "total_energy_ev_per_cell": -10.90,
  "dos_ef_per_ev_fu": 1.939,
  "vol_a3_per_fu": 97.3,
  "lattice": [[3.013, -4.777, 0.000], [3.013, 4.777, 0.000], [0.000, 0.000, 3.381]],
  "species": ["Ba", "Cd", "Cd", "Ir"],
  "frac_coords": [[0.000, 0.000, 0.000], [0.000, 0.500, 0.500], [0.500, 0.000, 0.500], [0.500, 0.500, 0.000]]
}

(13)
{
  "formula": "BaCdIr2",
  "functional": "PBE-GGA",
  "state": "optimized geometry",
  "total_energy_ev_per_cell": -18.12,
  "dos_ef_per_ev_fu": 4.305,
  "vol_a3_per_fu": 85.1,
  "lattice": [[3.154, -4.308, 0.000], [3.154, 4.308, 0.000], [0.000, 0.000, 3.132]],
  "species": ["Ba", "Cd", "Ir", "Ir"],
  "frac_coords": [[0.000, 0.000, 0.000], [0.500, 0.500, 0.000], [0.000, 0.500, 0.500], [0.500, 0.000, 0.500]]
}

(14)
{
  "formula": "BaCdIr2",
  "functional": "PBE-GGA",
  "state": "optimized geometry",
  "total_energy_ev_per_cell": -17.98,
  "dos_ef_per_ev_fu": 3.195,
  "vol_a3_per_fu": 83.5,
  "lattice": [[3.120, -4.877, 0.000], [3.120, 4.877, 0.000], [-1.353, 0.000, 2.743]],
  "species": ["Ba", "Cd", "Ir", "Ir"],
  "frac_coords": [[0.000, 0.000, 0.000], [0.500, 0.500, 0.000], [0.000, 0.500, 0.500], [0.500, 0.000, 0.500]]
}

(15)
{
  "formula": "BaCdIr2",
  "functional": "PBE-GGA",
  "state": "optimized geometry",
  "total_energy_ev_per_cell": -19.77,
  "dos_ef_per_ev_fu": 3.401,
  "vol_a3_per_fu": 95.0,
  "lattice": [[3.006, 0.000, 0.000], [0.000, 4.127, 0.000], [-1.456, 0.000, 7.657]],
  "species": ["Ba", "Cd", "Ir", "Ir"],
  "frac_coords": [[0.000, 0.000, 0.000], [0.667, 0.500, 0.340], [0.290, 0.500, 0.684], [0.736, 0.000, 0.601]]
}

(16)
{
  "formula": "BaCd2Ir",
  "functional": "PBE-GGA",
  "state": "optimized geometry",
  "total_energy_ev_per_cell": -11.12,
  "dos_ef_per_ev_fu": 1.959,
  "vol_a3_per_fu": 102.6,
  "lattice": [[3.062, -5.685, 0.000], [3.062, 5.685, 0.000], [-1.888, 0.000, 2.947]],
  "species": ["Ba", "Cd", "Cd", "Ir"],
  "frac_coords": [[0.000, 0.000, 0.000], [0.000, 0.500, 0.500], [0.500, 0.000, 0.500], [0.500, 0.500, 0.000]]
}

(17)
{
  "formula": "BaCdIr2",
  "functional": "PBE-GGA",
  "state": "optimized geometry",
  "total_energy_ev_per_cell": -18.12,
  "dos_ef_per_ev_fu": 4.137,
  "vol_a3_per_fu": 85.5,
  "lattice": [[-2.264, 2.264, 4.172], [2.264, -2.264, 4.172], [2.264, 2.264, -4.172]],
  "species": ["Ba", "Cd", "Ir", "Ir"],
  "frac_coords": [[0.000, 0.000, 0.000], [0.500, 0.500, 0.000], [0.250, 0.750, 0.500], [0.750, 0.250, 0.500]]
}

(18)
{
  "formula": "BaCd2Ir",
  "functional": "PBE-GGA",
  "state": "optimized geometry",
  "total_energy_ev_per_cell": -11.71,
  "dos_ef_per_ev_fu": 3.027,
  "vol_a3_per_fu": 99.7,
  "lattice": [[0.000, 3.681, 3.681], [3.681, 0.000, 3.681], [3.681, 3.681, 0.000]],
  "species": ["Ba", "Cd", "Cd", "Ir"],
  "frac_coords": [[0.000, 0.000, 0.000], [0.250, 0.250, 0.250], [0.750, 0.750, 0.750], [0.500, 0.500, 0.500]]
}

(19)
{
  "formula": "BaCd2Ir",
  "functional": "PBE-GGA",
  "state": "optimized geometry",
  "total_energy_ev_per_cell": -12.17,
  "dos_ef_per_ev_fu": 1.692,
  "vol_a3_per_fu": 103.7,
  "lattice": [[3.603, 0.000, 0.000], [0.000, 4.851, 0.000], [-1.612, 0.000, 5.933]],
  "species": ["Ba", "Cd", "Cd", "Ir"],
  "frac_coords": [[0.000, 0.000, 0.000], [0.344, 0.500, 0.695], [0.656, 0.500, 0.305], [0.500, 0.000, 0.500]]
}

(20)
{
  "formula": "BaCd4Ir",
  "functional": "PBE-GGA",
  "state": "optimized geometry",
  "total_energy_ev_per_cell": -13.63,
  "dos_ef_per_ev_fu": 5.507,
  "polymorph_energy_ev_per_atom": 0.0641,
  "vol_a3_per_fu": 141.3,
  "lattice": [[0.000, 4.134, 4.134], [4.134, 0.000, 4.134], [4.134, 4.134, 0.000]],
  "species": ["Ba", "Cd", "Cd", "Cd", "Cd", "Ir"],
  "frac_coords": [[0.000, 0.000, 0.000], [0.130, 0.623, 0.623], [0.623, 0.130, 0.623], [0.623, 0.623, 0.130], [0.623, 0.623, 0.623], [0.250, 0.250, 0.250]]
}